# VH2O PBE with a Hubbard U optimized geometry
# crystal system	tetragonal
# uncorrected energy	-5.14	eV/atom
# energy above the most stable polymorph in this dataset	0	meV/atom
# total magnetic moment	2.38	μB/f.u.
# volume	66	Å³/cell
data_VH2O
_cell_length_a 8.268
_cell_length_b 8.268
_cell_length_c 8.268
_cell_angle_alpha 159.97
_cell_angle_beta 159.97
_cell_angle_gamma 28.47
_space_group_name_H-M_alt 'P 1'
_space_group_IT_number 1
loop_
_space_group_symop_operation_xyz
'x,y,z'
loop_
_atom_site_label
_atom_site_fract_x
_atom_site_fract_y
_atom_site_fract_z
V1 0.375 0.625 0.750
V2 0.625 0.375 0.250
H1 0.000 0.500 0.500
H2 0.500 0.000 0.000
H3 0.500 0.500 0.000
H4 0.500 0.500 0.500
O1 0.125 0.875 0.250
O2 0.875 0.125 0.750